The following is a DFT calculation (PBE with a Hubbard U) of a relaxed structure of Li2PmVF8.

Values from the calculation:
V   13.0 Å³/atom
Calculated total energy   -5.83 eV/atom

Cell: 4.7615 6.8182 4.8093 Å, 90.00 92.57 90.00°
Sites, in units of the cell vectors:
1 Li 0.0000 0.2350 0.0000
2 Li 0.0000 0.7650 0.0000
3 Pm 0.5000 0.5000 0.5000
4 V 0.5000 0.0000 0.5000
5 F 0.1758 0.5000 0.8147
6 F 0.2178 0.0000 0.7774
7 F 0.3008 0.2225 0.2967
8 F 0.3008 0.7775 0.2967
9 F 0.6992 0.2225 0.7033
10 F 0.6992 0.7775 0.7033
11 F 0.7822 0.0000 0.2226
12 F 0.8242 0.5000 0.1853